Al2ZnCu: relaxed, GGA-PBE.

E_form: 31 meV per atom
D(E_F): 1.73 states/eV/cell
Final energy: -12.73 eV/cell

Cell: 4.2712 4.2712 3.2521 Å, 90.00 90.00 90.00°
Positions (direct):
Al  0.0000  0.0000  0.0000
Zn  0.0000  0.5000  0.5000
Cu  0.5000  0.0000  0.5000
Al  0.5000  0.5000  0.0000